# 1
Y2ZrSbSe: PBEsol geometry, SCAN.

Properties
DFT total energy = -142.6 eV for the cell shown
ρ = 4.91 g/cm³
E_form (uncorrected) = 0.224 eV/atom
N(E_F) = 0.48 states/eV/atom
Space-group type = P4/mmm

a = 5.1867 Å, b = 5.5318 Å, c = 5.5318 Å
α = 90.00°, β = 90.00°, γ = 90.00°
Fractional coordinates of all 5 atoms:
Sb  0.5000  0.0000  0.0000
Y  0.0000  0.0000  0.5000
Y  0.0000  0.5000  0.0000
Se  0.5000  0.5000  0.5000
Zr  0.0000  0.0000  0.0000



# 2
Li2MnTc: PBEsol geometry, SCAN.

Properties
DFT total energy = -57.0 eV for the cell shown
ρ = 5.35 g/cm³
N(E_F) = 0.50 states/eV/atom
Space-group type = Pm
E above lowest polymorph = 2.62 kcal/mol of atoms
Energy of formation = 0.27 eV per atom

a = 2.4254 Å, b = 4.0701 Å, c = 5.2807 Å
α = 90.00°, β = 96.99°, γ = 90.00°
Fractional coordinates of all 4 atoms:
Tc  0.2760  0.5000  0.7110
Li  0.9813  0.0000  0.0108
Li  0.7519  0.5000  0.2406
Mn  0.4908  0.0000  0.5376



# 3
GdGa3B4O12: PBEsol geometry, SCAN.

Properties
DFT total energy = -264.3 eV for the cell shown
ρ = 5.16 g/cm³
E_form (uncorrected) = -2.596 eV/atom
N(E_F) = 0.00 states/eV/atom
Space-group type = R32

a = 6.0164 Å, b = 6.0164 Å, c = 6.0164 Å
α = 104.19°, β = 104.19°, γ = 104.19°
Each line ends with the local moment (μB).
Fractional coordinates of all 20 atoms:
O  0.8698  0.4718  0.7115  -0.01
O  0.5282  0.1302  0.2885  -0.01
O  0.0000  0.8542  0.1458  0.00
O  0.1458  0.0000  0.8542  0.00
O  0.8542  0.1458  0.0000  0.00
O  0.7115  0.8698  0.4718  -0.01
O  0.2885  0.5282  0.1302  -0.01
O  0.5921  0.4079  0.0000  0.00
O  0.4079  0.0000  0.5921  0.00
O  0.1302  0.2885  0.5282  -0.01
O  0.4718  0.7115  0.8698  -0.01
O  0.0000  0.5921  0.4079  0.00
B  0.4465  0.5535  0.0000  0.00
B  0.0000  0.4465  0.5535  0.00
B  0.0000  0.0000  0.0000  0.00
B  0.5535  0.0000  0.4465  0.00
Gd  0.5000  0.5000  0.5000  6.97
Ga  0.9492  0.5000  0.0508  0.00
Ga  0.0508  0.9492  0.5000  0.00
Ga  0.5000  0.0508  0.9492  0.00



# 4
ZrCdSi2: PBEsol geometry, SCAN.

Properties
DFT total energy = -79.6 eV for the cell shown
ρ = 5.97 g/cm³
E_form (uncorrected) = 0.388 eV/atom
N(E_F) = 0.56 states/eV/atom
Space-group type = F-43m

a = 4.6746 Å, b = 4.6746 Å, c = 4.6746 Å
α = 60.00°, β = 60.00°, γ = 60.00°
Fractional coordinates of all 4 atoms:
Zr  0.7500  0.7500  0.7500
Si  0.0000  0.0000  0.0000
Si  0.2500  0.2500  0.2500
Cd  0.5000  0.5000  0.5000



# 5
Co2HgPt: PBEsol geometry, SCAN.

Properties
DFT total energy = -172.1 eV for the cell shown
ρ = 15.34 g/cm³
N(E_F) = 0.78 states/eV/atom
Space-group type = P4/mmm
Energy of formation = 0.21 eV per atom

a = 2.7490 Å, b = 2.7490 Å, c = 7.3563 Å
α = 90.00°, β = 90.00°, γ = 90.00°
Each line ends with the local moment (μB).
Fractional coordinates of all 4 atoms:
Co  0.0000  0.0000  0.2673  1.98
Co  0.0000  0.0000  0.7327  1.98
Pt  0.5000  0.5000  0.5000  0.38
Hg  0.5000  0.5000  0.0000  -0.07



# 6
Sc4Pt5: PBEsol geometry, SCAN.

Properties
DFT total energy = -839.2 eV for the cell shown
ρ = 12.50 g/cm³
N(E_F) = 0.44 states/eV/atom
Space-group type = P6_3/mcm
Energy of formation = -1.30 eV per atom

a = 5.6086 Å, b = 7.9486 Å, c = 7.9486 Å
α = 120.00°, β = 90.00°, γ = 90.00°
Fractional coordinates of all 18 atoms:
Sc  0.7500  0.3662  0.0000
Sc  0.2500  0.0000  0.6338
Sc  0.5000  0.0000  0.0000
Sc  0.0000  0.0000  0.0000
Sc  0.7500  0.6338  0.6338
Sc  0.2500  0.3662  0.3662
Sc  0.2500  0.6338  0.0000
Sc  0.7500  0.0000  0.3662
Pt  0.7500  0.2998  0.2998
Pt  0.7500  0.0000  0.7002
Pt  0.2500  0.0000  0.2998
Pt  0.0000  0.3333  0.6667
Pt  0.2500  0.7002  0.7002
Pt  0.5000  0.6667  0.3333
Pt  0.0000  0.6667  0.3333
Pt  0.2500  0.2998  0.0000
Pt  0.5000  0.3333  0.6667
Pt  0.7500  0.7002  0.0000



# 7
Hg3Au: PBEsol geometry, SCAN.

Properties
DFT total energy = -273.3 eV for the cell shown
ρ = 15.46 g/cm³
N(E_F) = 0.27 states/eV/atom
Space-group type = Pmmm
E above lowest polymorph = 1.14 kcal/mol of atoms
Energy of formation = 0.08 eV per atom

a = 2.8247 Å, b = 3.8149 Å, c = 7.9595 Å
α = 90.00°, β = 90.00°, γ = 90.00°
Fractional coordinates of all 4 atoms:
Hg  0.5000  0.5000  0.2274
Hg  0.5000  0.5000  0.7726
Hg  0.0000  0.0000  0.5000
Au  0.0000  0.0000  0.0000



# 8
CsNi3Cl: PBEsol geometry, SCAN.

Properties
DFT total energy = -84.1 eV for the cell shown
ρ = 5.48 g/cm³
E_form (uncorrected) = 2.039 eV/atom
N(E_F) = 0.69 states/eV/atom
Space-group type = Pm-3m

a = 4.7079 Å, b = 4.7079 Å, c = 4.7079 Å
α = 90.00°, β = 90.00°, γ = 90.00°
Each line ends with the local moment (μB).
Fractional coordinates of all 5 atoms:
Ni  0.5000  0.0000  0.0000  0.07
Ni  0.0000  0.0000  0.5000  0.07
Ni  0.0000  0.5000  0.0000  0.07
Cl  0.5000  0.5000  0.5000  -0.01
Cs  0.0000  0.0000  0.0000  0.01



# 9
ZnGaNO: PBEsol geometry, SCAN.

Properties
DFT total energy = -396.6 eV for the cell shown
ρ = 5.85 g/cm³
E_form (uncorrected) = -1.049 eV/atom
N(E_F) = 0.04 states/eV/atom
Space-group type = P1
E above lowest polymorph = 0.36 kcal/mol of atoms

a = 6.4431 Å, b = 6.4417 Å, c = 10.4082 Å
α = 89.98°, β = 89.87°, γ = 60.17°
Fractional coordinates of all 32 atoms:
Zn  0.1560  0.6725  0.7349
Zn  0.6723  0.1562  0.7383
Zn  0.3340  0.8302  0.4905
Zn  0.1667  0.1674  0.7355
Zn  0.6607  0.1610  0.2538
Zn  0.8283  0.3441  0.0012
Zn  0.3222  0.3397  0.4951
Zn  0.8377  0.3389  0.4903
O  0.6719  0.1553  0.4451
O  0.3458  0.8255  0.6985
O  0.1684  0.6662  0.9445
O  0.3361  0.3353  0.6973
O  0.1786  0.1595  0.9416
O  0.8242  0.3475  0.6979
O  0.6608  0.1611  0.9448
O  0.8394  0.3381  0.1920
N  0.1578  0.6719  0.4362
N  0.3238  0.3393  0.1861
N  0.3326  0.8338  0.1858
N  0.6678  0.6715  0.4350
N  0.1680  0.1633  0.4388
N  0.6625  0.6752  0.9342
N  0.8391  0.8259  0.1850
N  0.8277  0.8291  0.6831
Ga  0.3343  0.3300  0.0067
Ga  0.6702  0.6736  0.7478
Ga  0.1639  0.6675  0.2546
Ga  0.8265  0.8287  0.0056
Ga  0.3452  0.8292  0.0041
Ga  0.8373  0.8227  0.4966
Ga  0.1754  0.1639  0.2597
Ga  0.6649  0.6759  0.2553



# 10
Sr3MoPd: PBEsol geometry, SCAN.

Properties
DFT total energy = -129.4 eV for the cell shown
ρ = 4.74 g/cm³
N(E_F) = 0.58 states/eV/atom
Space-group type = Pm-3m
Energy of formation = 1.03 eV per atom

a = 5.4611 Å, b = 5.4611 Å, c = 5.4611 Å
α = 90.00°, β = 90.00°, γ = 90.00°
Fractional coordinates of all 5 atoms:
Sr  0.0000  0.5000  0.0000
Sr  0.5000  0.0000  0.0000
Sr  0.0000  0.0000  0.5000
Mo  0.0000  0.0000  0.0000
Pd  0.5000  0.5000  0.5000



# 11
Hg2BRuC: PBEsol geometry, SCAN.

Properties
DFT total energy = -180.5 eV for the cell shown
ρ = 8.68 g/cm³
N(E_F) = 0.65 states/eV/atom
Space-group type = P4/mmm
Energy of formation = 1.64 eV per atom

a = 3.7356 Å, b = 5.1867 Å, c = 5.1867 Å
α = 90.00°, β = 90.00°, γ = 90.00°
Fractional coordinates of all 5 atoms:
B  0.5000  0.5000  0.5000
C  0.5000  0.0000  0.0000
Hg  0.0000  0.0000  0.5000
Hg  0.0000  0.5000  0.0000
Ru  0.0000  0.0000  0.0000



# 12
Na2SnS: PBEsol geometry, SCAN.

Properties
DFT total energy = -111.3 eV for the cell shown
ρ = 3.34 g/cm³
E_form (uncorrected) = -0.422 eV/atom
N(E_F) = 0.46 states/eV/atom
Space-group type = I-42d

a = 5.8001 Å, b = 6.4951 Å, c = 6.4951 Å
α = 78.50°, β = 63.48°, γ = 63.48°
Fractional coordinates of all 8 atoms:
Sn  0.7500  0.5000  0.5000
Sn  0.0000  0.0000  0.0000
Na  0.8750  0.5619  0.9381
Na  0.5631  0.0619  0.5619
Na  0.1869  0.9381  0.4381
Na  0.3750  0.4381  0.0619
S  0.5000  0.0000  0.0000
S  0.2500  0.5000  0.5000



# 13
LiCrSCl2: PBEsol geometry, SCAN.

Properties
DFT total energy = -48.4 eV for the cell shown
ρ = 2.95 g/cm³
E_form (uncorrected) = -0.404 eV/atom
N(E_F) = 0.57 states/eV/atom
Space-group type = P4/mmm

a = 4.3937 Å, b = 4.3937 Å, c = 4.7188 Å
α = 90.00°, β = 90.00°, γ = 90.00°
Each line ends with the local moment (μB).
Fractional coordinates of all 5 atoms:
Cl  0.5000  0.0000  0.0000  -0.15
Cl  0.0000  0.5000  0.0000  -0.15
Li  0.0000  0.0000  0.0000  0.00
S  0.0000  0.0000  0.5000  -0.65
Cr  0.5000  0.5000  0.5000  4.00



# 14
RbTlC2N: PBEsol geometry, SCAN.

Properties
DFT total energy = -109.7 eV for the cell shown
ρ = 5.61 g/cm³
E_form (uncorrected) = 2.575 eV/atom
N(E_F) = 0.59 states/eV/atom
Space-group type = P4/mmm

a = 4.5557 Å, b = 4.6167 Å, c = 4.6167 Å
α = 90.00°, β = 90.00°, γ = 90.00°
Each line ends with the local moment (μB).
Fractional coordinates of all 5 atoms:
C  0.0000  0.0000  0.5000  0.97
C  0.0000  0.5000  0.0000  0.97
Rb  0.5000  0.5000  0.5000  0.06
N  0.5000  0.0000  0.0000  1.24
Tl  0.0000  0.0000  0.0000  0.02



# 15
In: PBEsol geometry, SCAN.

Properties
DFT total energy = -33.3 eV for the cell shown
ρ = 7.48 g/cm³
N(E_F) = 0.48 states/eV/atom
Space-group type = Im-3m
E above lowest polymorph = 1.97 kcal/mol of atoms
Energy of formation = 0.09 eV per atom

a = 3.2108 Å, b = 3.2108 Å, c = 3.2108 Å
α = 109.47°, β = 109.47°, γ = 109.47°
Fractional coordinates of all 1 atoms:
In  0.0000  0.0000  0.0000



# 16
BaCa2ZnSn: PBEsol geometry, SCAN.

Properties
DFT total energy = -108.4 eV for the cell shown
ρ = 2.89 g/cm³
N(E_F) = 0.74 states/eV/atom
Space-group type = P4/mmm
Energy of formation = -0.01 eV per atom

a = 5.8912 Å, b = 5.8912 Å, c = 6.6549 Å
α = 90.00°, β = 90.00°, γ = 90.00°
Each line ends with the local moment (μB).
Fractional coordinates of all 5 atoms:
Zn  0.5000  0.5000  0.5000  0.07
Sn  0.0000  0.0000  0.0000  0.02
Ba  0.0000  0.0000  0.5000  0.07
Ca  0.0000  0.5000  0.0000  0.05
Ca  0.5000  0.0000  0.0000  0.05



# 17
MgAu3I: PBEsol geometry, SCAN.

Properties
DFT total energy = -246.5 eV for the cell shown
ρ = 10.13 g/cm³
E_form (uncorrected) = 0.538 eV/atom
N(E_F) = 0.82 states/eV/atom
Space-group type = Pm-3m

a = 4.9548 Å, b = 4.9548 Å, c = 4.9548 Å
α = 90.00°, β = 90.00°, γ = 90.00°
Fractional coordinates of all 5 atoms:
Au  0.0000  0.5000  0.0000
Au  0.0000  0.0000  0.5000
Au  0.5000  0.0000  0.0000
I  0.5000  0.5000  0.5000
Mg  0.0000  0.0000  0.0000



# 18
TaCuSi2: PBEsol geometry, SCAN.

Properties
DFT total energy = -101.7 eV for the cell shown
ρ = 8.85 g/cm³
E_form (uncorrected) = 0.024 eV/atom
N(E_F) = 0.33 states/eV/atom
Space-group type = P4/mmm

a = 2.8086 Å, b = 4.4828 Å, c = 4.4828 Å
α = 90.00°, β = 90.00°, γ = 90.00°
Fractional coordinates of all 4 atoms:
Si  0.0000  0.0000  0.5000
Si  0.0000  0.5000  0.0000
Ta  0.5000  0.5000  0.5000
Cu  0.5000  0.0000  0.0000



# 19
CrCdPb: PBEsol geometry, SCAN.

Properties
DFT total energy = -123.7 eV for the cell shown
ρ = 9.51 g/cm³
N(E_F) = 0.40 states/eV/atom
Space-group type = P3m1
Energy of formation = 0.30 eV per atom

a = 3.3355 Å, b = 4.7401 Å, c = 4.7401 Å
α = 120.00°, β = 90.00°, γ = 90.00°
Each line ends with the local moment (μB).
Fractional coordinates of all 3 atoms:
Pb  0.3401  0.3333  0.6667  -0.05
Cr  0.6855  0.6667  0.3333  3.95
Cd  0.9744  0.0000  0.0000  -0.05



# 20
Ti3NiRh: PBEsol geometry, SCAN.

Properties
DFT total energy = -96.7 eV for the cell shown
ρ = 6.01 g/cm³
N(E_F) = 1.52 states/eV/atom
Space-group type = Pm-3m
Energy of formation = 0.27 eV per atom

a = 4.3861 Å, b = 4.3861 Å, c = 4.3861 Å
α = 90.00°, β = 90.00°, γ = 90.00°
Fractional coordinates of all 5 atoms:
Rh  0.5000  0.5000  0.5000
Ti  0.5000  0.0000  0.0000
Ti  0.0000  0.5000  0.0000
Ti  0.0000  0.0000  0.5000
Ni  0.0000  0.0000  0.0000



# 21
Ti3V2CuP6O24: PBEsol geometry, SCAN.

Properties
DFT total energy = -403.6 eV for the cell shown
ρ = 3.40 g/cm³
E_form (uncorrected) = -2.595 eV/atom
N(E_F) = 0.50 states/eV/atom
Space-group type = R3

a = 8.3294 Å, b = 8.3294 Å, c = 8.3294 Å
α = 62.24°, β = 62.24°, γ = 62.24°
Each line ends with the local moment (μB).
Fractional coordinates of all 36 atoms:
O  0.3197  0.4910  0.1158  0.00
O  0.5242  0.8940  0.6564  0.00
O  0.7502  0.4064  0.5745  0.00
O  0.8972  0.2607  0.0441  0.02
O  0.5745  0.7502  0.4064  0.00
O  0.3978  0.9742  0.1770  0.02
O  0.1770  0.3978  0.9742  0.02
O  0.0441  0.8972  0.2607  0.02
O  0.7483  0.9458  0.0937  -0.01
O  0.4064  0.5745  0.7502  0.00
O  0.5924  0.4409  0.2487  -0.01
O  0.1158  0.3197  0.4910  0.00
O  0.8191  0.6180  0.0037  0.00
O  0.4409  0.2487  0.5924  -0.01
O  0.6564  0.5242  0.8940  0.00
O  0.8940  0.6564  0.5242  0.00
O  0.2487  0.5924  0.4409  -0.01
O  0.2607  0.0441  0.8972  0.02
O  0.0037  0.8191  0.6180  0.00
O  0.9742  0.1770  0.3978  0.02
O  0.4910  0.1158  0.3197  0.00
O  0.0937  0.7483  0.9458  -0.01
O  0.6180  0.0037  0.8191  0.00
O  0.9458  0.0937  0.7483  -0.01
Ti  0.8601  0.8601  0.8601  0.20
Ti  0.6452  0.6452  0.6452  0.09
Ti  0.3556  0.3556  0.3556  0.11
V  0.5016  0.5016  0.5016  2.49
V  0.0027  0.0027  0.0027  2.31
P  0.2472  0.5444  0.9508  0.01
P  0.5444  0.9508  0.2472  0.01
P  0.9508  0.2472  0.5444  0.01
P  0.4565  0.0470  0.7485  0.01
P  0.7485  0.4565  0.0470  0.01
P  0.0470  0.7485  0.4565  0.01
Cu  0.1466  0.1466  0.1466  0.58



# 22
LaTaI2O: PBEsol geometry, SCAN.

Properties
DFT total energy = -190.9 eV for the cell shown
ρ = 5.94 g/cm³
E_form (uncorrected) = -0.304 eV/atom
N(E_F) = 0.85 states/eV/atom
Space-group type = P4/mmm

a = 4.1835 Å, b = 6.2794 Å, c = 6.2794 Å
α = 90.00°, β = 90.00°, γ = 90.00°
Each line ends with the local moment (μB).
Fractional coordinates of all 5 atoms:
I  0.0000  0.0000  0.5000  -0.01
I  0.0000  0.5000  0.0000  -0.01
O  0.5000  0.0000  0.0000  0.02
La  0.0000  0.0000  0.0000  0.01
Ta  0.5000  0.5000  0.5000  2.42



# 23
SrLiYNi2: PBEsol geometry, SCAN.

Properties
DFT total energy = -79.7 eV for the cell shown
ρ = 3.74 g/cm³
N(E_F) = 0.92 states/eV/atom
Space-group type = P4/mmm
Energy of formation = 1.03 eV per atom

a = 4.7658 Å, b = 4.7658 Å, c = 5.8852 Å
α = 90.00°, β = 90.00°, γ = 90.00°
Fractional coordinates of all 5 atoms:
Ni  0.0000  0.5000  0.0000
Ni  0.5000  0.0000  0.0000
Sr  0.0000  0.0000  0.5000
Li  0.5000  0.5000  0.5000
Y  0.0000  0.0000  0.0000



# 24
KIO2F: PBEsol geometry, SCAN.

Properties
DFT total energy = -66.6 eV for the cell shown
ρ = 4.21 g/cm³
E_form (uncorrected) = -1.107 eV/atom
N(E_F) = 0.20 states/eV/atom
Space-group type = P4/mmm

a = 4.0622 Å, b = 4.0622 Å, c = 5.1925 Å
α = 90.00°, β = 90.00°, γ = 90.00°
Fractional coordinates of all 5 atoms:
O  0.0000  0.5000  0.0000
O  0.5000  0.0000  0.0000
I  0.0000  0.0000  0.0000
F  0.0000  0.0000  0.5000
K  0.5000  0.5000  0.5000